GdYV2O8: optimized geometry, GGA+U.

Values from the calculation:
SG: I-4m2, No. 119
E_tot: -8.9755 eV per atom
volume: 168 Å³/cell

abc: 6.048 6.048 6.048
angles: 106.20 106.20 116.23
Site moments in Bohr magnetons follow the coordinates.
Sites, in units of the cell vectors:
Gd1 0.250 0.750 0.500  6.93
Y1 0.000 0.000 0.000  0.00
V1 0.750 0.250 0.500  0.00
V2 0.500 0.500 0.000  0.01
O1 0.923 0.608 0.685  0.00
O2 0.493 0.676 0.817  0.00
O3 0.859 0.676 0.183  0.00
O4 0.923 0.238 0.315  0.00
O5 0.324 0.141 0.817  0.00
O6 0.762 0.077 0.685  0.00
O7 0.392 0.077 0.315  0.00
O8 0.324 0.507 0.183  0.00